Entry from Alexandria: crystalline TiAl2FeO at its relaxed geometry (PBE+U).

Structure (POSCAR):
```
TiAl2FeO
1.0
5.063 0.000 0.000
0.000 5.063 0.000
0.000 0.000 4.443
Ti Al Fe O
1 2 1 1
Direct
0.000 0.000 0.000 Ti
0.000 0.500 0.000 Al
0.500 0.000 0.000 Al
0.000 0.000 0.500 Fe
0.500 0.500 0.500 O
```

Computed properties:
M_tot, Bohr magnetons per cell: 1.0
Calculated density, g/cm³: 2.5
Total DFT energy (no corrections), eV/atom: -3.745